Version 1
{
  "formula": "LaMoIr2",
  "functional": "PBE",
  "state": "relaxed",
  "lattice_angstrom": [[2.991, -4.037, 0.000], [2.991, 4.037, 0.000], [0.000, 0.000, 2.986]],
  "species": ["La", "Mo", "Ir", "Ir"],
  "frac_coords": [[0.000, 0.000, 0.000], [0.500, 0.500, 0.000], [0.000, 0.500, 0.500], [0.500, 0.000, 0.500]],
  "mass_density_g_cm3": 14.26
}

---

Version 2
{
  "formula": "LaMoIr2",
  "functional": "PBE",
  "state": "relaxed",
  "lattice_angstrom": [[-3.752, 3.752, 2.949], [3.752, -3.752, 2.949], [3.752, 3.752, -2.949]],
  "species": ["La", "La", "Mo", "Mo", "Ir", "Ir", "Ir", "Ir"],
  "frac_coords": [[0.000, 0.000, 0.000], [0.750, 0.250, 0.500], [0.250, 0.750, 0.500], [0.500, 0.500, 0.000], [0.177, 0.625, 0.052], [0.375, 0.427, 0.552], [0.573, 0.125, 0.948], [0.875, 0.823, 0.448]],
  "mass_density_g_cm3": 12.38
}

---

Version 3
{
  "formula": "LaMoIr2",
  "functional": "PBE",
  "state": "relaxed",
  "lattice_angstrom": [[3.047, 0.000, 0.000], [0.000, 4.602, 0.000], [-1.040, 0.000, 5.507]],
  "species": ["La", "Mo", "Ir", "Ir"],
  "frac_coords": [[0.000, 0.000, 0.000], [0.779, 0.500, 0.422], [0.422, 0.000, 0.492], [0.437, 0.500, 0.813]],
  "mass_density_g_cm3": 13.32
}

---

What should be chosen as the least stable of them? Choose version 2.

---

Version 1
{
  "formula": "LaMoIr3",
  "functional": "PBE",
  "state": "relaxed",
  "lattice_angstrom": [[4.797, 0.000, 0.000], [0.000, 4.797, 0.000], [0.000, 0.000, 4.797]],
  "species": ["La", "Mo", "Ir", "Ir", "Ir"],
  "frac_coords": [[0.000, 0.000, 0.000], [0.500, 0.500, 0.500], [0.000, 0.500, 0.500], [0.500, 0.000, 0.500], [0.500, 0.500, 0.000]],
  "mass_density_g_cm3": 12.21
}

---

Version 2
{
  "formula": "LaMoIr3",
  "functional": "PBE",
  "state": "relaxed",
  "lattice_angstrom": [[4.833, 0.000, 0.000], [0.000, 4.833, 0.000], [0.000, 0.000, 4.833]],
  "species": ["La", "Mo", "Ir", "Ir", "Ir"],
  "frac_coords": [[0.000, 0.000, 0.000], [0.500, 0.500, 0.500], [0.000, 0.000, 0.500], [0.000, 0.500, 0.000], [0.500, 0.000, 0.000]],
  "mass_density_g_cm3": 11.94
}

---

What should be chosen as the least stable of them? Choose version 2.

---

Version 1
{
  "formula": "LaMoIr",
  "functional": "PBE",
  "state": "relaxed",
  "lattice_angstrom": [[0.000, 3.264, 3.264], [3.264, 0.000, 3.264], [3.264, 3.264, 0.000]],
  "species": ["La", "Mo", "Ir"],
  "frac_coords": [[0.000, 0.000, 0.000], [0.250, 0.250, 0.250], [0.750, 0.750, 0.750]],
  "mass_density_g_cm3": 10.19
}

---

Version 2
{
  "formula": "LaMoIr",
  "functional": "PBE",
  "state": "relaxed",
  "lattice_angstrom": [[-1.588, 1.588, 6.189], [1.588, -1.588, 6.189], [1.588, 1.588, -6.189]],
  "species": ["La", "Mo", "Ir"],
  "frac_coords": [[0.000, 0.000, 0.000], [0.700, 0.700, 0.000], [0.305, 0.305, 0.000]],
  "mass_density_g_cm3": 11.36
}

---

What should be chosen as the least stable of them? Choose version 1.

---

Version 1
{
  "formula": "LaMoIr",
  "functional": "PBE",
  "state": "relaxed",
  "lattice_angstrom": [[0.000, 3.206, 3.206], [3.206, 0.000, 3.206], [3.206, 3.206, 0.000]],
  "species": ["La", "Mo", "Ir"],
  "frac_coords": [[0.000, 0.000, 0.000], [0.250, 0.250, 0.250], [0.500, 0.500, 0.500]],
  "mass_density_g_cm3": 10.76
}

---

Version 2
{
  "formula": "LaMoIr",
  "functional": "PBE",
  "state": "relaxed",
  "lattice_angstrom": [[4.208, 0.000, 0.000], [-2.104, 3.644, 0.000], [0.000, 0.000, 4.746]],
  "species": ["La", "Mo", "Ir"],
  "frac_coords": [[0.000, 0.000, 0.000], [0.667, 0.333, 0.470], [0.333, 0.667, 0.540]],
  "mass_density_g_cm3": 9.75
}

---

What should be chosen as the least stable of them? Choose version 1.

---

Version 1
{
  "formula": "La2IrN2",
  "functional": "PBE",
  "state": "relaxed",
  "lattice_angstrom": [[6.872, 0.000, 0.000], [0.000, 6.872, 0.000], [0.000, 0.000, 3.517]],
  "species": ["La", "La", "La", "La", "Ir", "Ir", "N", "N", "N", "N"],
  "frac_coords": [[0.160, 0.340, 0.000], [0.340, 0.840, 0.000], [0.660, 0.160, 0.000], [0.840, 0.660, 0.000], [0.000, 0.000, 0.500], [0.500, 0.500, 0.500], [0.167, 0.667, 0.500], [0.333, 0.167, 0.500], [0.667, 0.833, 0.500], [0.833, 0.333, 0.500]],
  "mass_density_g_cm3": 9.96
}

---

Version 2
{
  "formula": "La2IrN2",
  "functional": "PBE",
  "state": "relaxed",
  "lattice_angstrom": [[-2.523, 2.523, 4.408], [2.523, -2.523, 4.408], [2.523, 2.523, -4.408]],
  "species": ["La", "La", "Ir", "N", "N"],
  "frac_coords": [[0.250, 0.750, 0.500], [0.750, 0.250, 0.500], [0.000, 0.000, 0.000], [0.224, 0.224, 0.000], [0.776, 0.776, 0.000]],
  "mass_density_g_cm3": 7.37
}

---

What should be chosen as the least stable of them? Choose version 1.

---

Version 1
{
  "formula": "La2NiIrN",
  "functional": "PBE",
  "state": "relaxed",
  "lattice_angstrom": [[5.218, 0.000, 0.000], [0.000, 5.218, 0.000], [0.000, 0.000, 3.811]],
  "species": ["La", "La", "Ni", "Ir", "N"],
  "frac_coords": [[0.000, 0.500, 0.000], [0.500, 0.000, 0.000], [0.000, 0.000, 0.500], [0.500, 0.500, 0.500], [0.500, 0.500, 0.000]],
  "mass_density_g_cm3": 8.69
}

---

Version 2
{
  "formula": "La2NiIrN",
  "functional": "PBE",
  "state": "relaxed",
  "lattice_angstrom": [[5.164, 0.000, 0.000], [0.000, 5.164, 0.000], [0.000, 0.000, 3.640]],
  "species": ["La", "La", "Ni", "Ir", "N"],
  "frac_coords": [[0.000, 0.500, 0.000], [0.500, 0.000, 0.000], [0.000, 0.000, 0.500], [0.500, 0.500, 0.500], [0.000, 0.000, 0.000]],
  "mass_density_g_cm3": 9.28
}

---

What should be chosen as the least stable of them? Choose version 1.

---

Version 1
{
  "formula": "LaIrSe2N",
  "functional": "PBE",
  "state": "relaxed",
  "lattice_angstrom": [[5.772, 0.000, 0.000], [0.000, 5.772, 0.000], [0.000, 0.000, 3.945]],
  "species": ["La", "Ir", "Se", "Se", "N"],
  "frac_coords": [[0.000, 0.000, 0.000], [0.500, 0.500, 0.500], [0.000, 0.500, 0.000], [0.500, 0.000, 0.000], [0.000, 0.000, 0.500]],
  "mass_density_g_cm3": 6.36
}

---

Version 2
{
  "formula": "LaIrSe2N",
  "functional": "PBE",
  "state": "relaxed",
  "lattice_angstrom": [[5.224, 0.000, 0.000], [0.000, 5.224, 0.000], [0.000, 0.000, 3.760]],
  "species": ["La", "Ir", "Se", "Se", "N"],
  "frac_coords": [[0.000, 0.000, 0.000], [0.500, 0.500, 0.500], [0.000, 0.500, 0.500], [0.500, 0.000, 0.500], [0.500, 0.500, 0.000]],
  "mass_density_g_cm3": 8.14
}

---

What should be chosen as the least stable of them? Choose version 1.

---

Version 1
{
  "formula": "LaTeIrN2",
  "functional": "PBE",
  "state": "relaxed",
  "lattice_angstrom": [[4.041, 0.000, 0.000], [0.000, 4.041, 0.000], [0.000, 0.000, 7.233]],
  "species": ["La", "Te", "Ir", "N", "N"],
  "frac_coords": [[0.000, 0.000, 0.000], [0.000, 0.000, 0.500], [0.500, 0.500, 0.500], [0.000, 0.500, 0.000], [0.500, 0.000, 0.000]],
  "mass_density_g_cm3": 6.84
}

---

Version 2
{
  "formula": "LaTeIrN2",
  "functional": "PBE",
  "state": "relaxed",
  "lattice_angstrom": [[4.175, 0.000, 0.000], [0.000, 4.175, 0.000], [0.000, 0.000, 5.332]],
  "species": ["La", "Te", "Ir", "N", "N"],
  "frac_coords": [[0.000, 0.000, 0.000], [0.500, 0.500, 0.000], [0.500, 0.500, 0.500], [0.000, 0.500, 0.500], [0.500, 0.000, 0.500]],
  "mass_density_g_cm3": 8.69
}

---

What should be chosen as the least stable of them? Choose version 1.

---

Version 1
{
  "formula": "LaTe2IrN",
  "functional": "PBE",
  "state": "relaxed",
  "lattice_angstrom": [[6.169, 0.000, 0.000], [0.000, 6.169, 0.000], [0.000, 0.000, 3.913]],
  "species": ["La", "Te", "Te", "Ir", "N"],
  "frac_coords": [[0.000, 0.000, 0.000], [0.000, 0.500, 0.000], [0.500, 0.000, 0.000], [0.500, 0.500, 0.500], [0.000, 0.000, 0.500]],
  "mass_density_g_cm3": 6.69
}

---

Version 2
{
  "formula": "LaTe2IrN",
  "functional": "PBE",
  "state": "relaxed",
  "lattice_angstrom": [[5.591, 0.000, 0.000], [0.000, 5.591, 0.000], [0.000, 0.000, 3.804]],
  "species": ["La", "Te", "Te", "Ir", "N"],
  "frac_coords": [[0.000, 0.000, 0.000], [0.000, 0.500, 0.500], [0.500, 0.000, 0.500], [0.500, 0.500, 0.500], [0.500, 0.500, 0.000]],
  "mass_density_g_cm3": 8.38
}

---

Version 3
{
  "formula": "LaTe2IrN",
  "functional": "PBE",
  "state": "relaxed",
  "lattice_angstrom": [[6.292, 0.000, 0.000], [0.000, 6.292, 0.000], [0.000, 0.000, 5.288]],
  "species": ["La", "Te", "Te", "Ir", "N"],
  "frac_coords": [[0.000, 0.000, 0.000], [0.000, 0.500, 0.000], [0.500, 0.000, 0.000], [0.000, 0.000, 0.500], [0.500, 0.500, 0.500]],
  "mass_density_g_cm3": 4.76
}

---

What should be chosen as the least stable of them? Choose version 3.

---

Version 1
{
  "formula": "Na2LaIr",
  "functional": "PBE",
  "state": "relaxed",
  "lattice_angstrom": [[0.000, 3.558, 3.558], [3.558, 0.000, 3.558], [3.558, 3.558, 0.000]],
  "species": ["Na", "Na", "La", "Ir"],
  "frac_coords": [[0.250, 0.250, 0.250], [0.750, 0.750, 0.750], [0.000, 0.000, 0.000], [0.500, 0.500, 0.500]],
  "mass_density_g_cm3": 6.95
}

---

Version 2
{
  "formula": "Na2LaIr",
  "functional": "PBE",
  "state": "relaxed",
  "lattice_angstrom": [[-2.066, 2.066, 12.106], [2.066, -2.066, 12.106], [2.066, 2.066, -12.106]],
  "species": ["Na", "Na", "Na", "Na", "La", "La", "Ir", "Ir"],
  "frac_coords": [[0.090, 0.625, 0.965], [0.375, 0.340, 0.465], [0.660, 0.125, 0.035], [0.875, 0.910, 0.535], [0.250, 0.750, 0.500], [0.500, 0.500, 0.000], [0.000, 0.000, 0.000], [0.750, 0.250, 0.500]],
  "mass_density_g_cm3": 6.06
}

---

What should be chosen as the least stable of them? Choose version 1.

---

Version 1
{
  "formula": "NaLaIr3",
  "functional": "PBE",
  "state": "relaxed",
  "lattice_angstrom": [[4.656, 0.000, 0.000], [0.000, 4.656, 0.000], [0.000, 0.000, 4.656]],
  "species": ["Na", "La", "Ir", "Ir", "Ir"],
  "frac_coords": [[0.000, 0.000, 0.000], [0.500, 0.500, 0.500], [0.000, 0.000, 0.500], [0.000, 0.500, 0.000], [0.500, 0.000, 0.000]],
  "mass_density_g_cm3": 12.15
}

---

Version 2
{
  "formula": "NaLaIr3",
  "functional": "PBE",
  "state": "relaxed",
  "lattice_angstrom": [[5.036, 0.000, 0.000], [0.000, 5.036, 0.000], [0.000, 0.000, 5.036]],
  "species": ["Na", "La", "Ir", "Ir", "Ir"],
  "frac_coords": [[0.000, 0.000, 0.000], [0.500, 0.500, 0.500], [0.000, 0.500, 0.500], [0.500, 0.000, 0.500], [0.500, 0.500, 0.000]],
  "mass_density_g_cm3": 9.60
}

---

What should be chosen as the least stable of them? Choose version 2.

---

Version 1
{
  "formula": "NaLa2TlIr",
  "functional": "PBE",
  "state": "relaxed",
  "lattice_angstrom": [[5.496, 0.000, 0.000], [0.000, 5.496, 0.000], [0.000, 0.000, 5.523]],
  "species": ["Na", "La", "La", "Tl", "Ir"],
  "frac_coords": [[0.000, 0.000, 0.000], [0.000, 0.500, 0.500], [0.500, 0.000, 0.500], [0.500, 0.500, 0.000], [0.000, 0.000, 0.500]],
  "mass_density_g_cm3": 6.94
}

---

Version 2
{
  "formula": "NaLa2TlIr",
  "functional": "PBE",
  "state": "relaxed",
  "lattice_angstrom": [[5.605, 0.000, 0.000], [0.000, 5.605, 0.000], [0.000, 0.000, 5.377]],
  "species": ["Na", "La", "La", "Tl", "Ir"],
  "frac_coords": [[0.000, 0.000, 0.000], [0.000, 0.500, 0.500], [0.500, 0.000, 0.500], [0.500, 0.500, 0.000], [0.500, 0.500, 0.500]],
  "mass_density_g_cm3": 6.86
}

---

What should be chosen as the least stable of them? Choose version 1.

---

Version 1
{
  "formula": "LaNbIr3",
  "functional": "PBE",
  "state": "relaxed",
  "lattice_angstrom": [[4.844, 0.000, 0.000], [0.000, 4.844, 0.000], [0.000, 0.000, 4.844]],
  "species": ["La", "Nb", "Ir", "Ir", "Ir"],
  "frac_coords": [[0.000, 0.000, 0.000], [0.500, 0.500, 0.500], [0.000, 0.500, 0.500], [0.500, 0.000, 0.500], [0.500, 0.500, 0.000]],
  "mass_density_g_cm3": 11.81
}

---

Version 2
{
  "formula": "LaNbIr3",
  "functional": "PBE",
  "state": "relaxed",
  "lattice_angstrom": [[4.850, 0.000, 0.000], [0.000, 4.850, 0.000], [0.000, 0.000, 4.850]],
  "species": ["La", "Nb", "Ir", "Ir", "Ir"],
  "frac_coords": [[0.000, 0.000, 0.000], [0.500, 0.500, 0.500], [0.000, 0.000, 0.500], [0.000, 0.500, 0.000], [0.500, 0.000, 0.000]],
  "mass_density_g_cm3": 11.77
}

---

What should be chosen as the least stable of them? Choose version 2.